<one>
VASP calculation (GGA-PBE) on PmCu2Ag after structural relaxation.

The density is 8.41 Mg/m³. The calculation puts the spin magnetization at 0.000 μB/cell. As for the symmetry: P4/mmm.

Structure (POSCAR):
```
PmCu2Ag
1.0
3.427 0.000 0.000
0.000 3.427 0.000
0.000 0.000 6.390
Pm Cu Ag
1 2 1
direct
0.000 0.000 0.000
0.500 0.500 0.297
0.500 0.500 0.703
0.000 0.000 0.500
```

---

<two>
VASP calculation (GGA-PBE) on PmCu2Ag after structural relaxation.

The density is 8.08 Mg/m³. The calculation puts the spin magnetization at 0.000 μB/cell. As for the symmetry: P2_1/m.

Structure (POSCAR):
```
PmCu2Ag
1.0
4.739 0.000 0.000
0.000 4.330 0.000
-1.087 0.000 7.615
Pm Cu Ag
2 4 2
direct
0.080 0.250 0.209
0.920 0.750 0.791
0.146 0.250 0.580
0.364 0.750 0.488
0.636 0.250 0.512
0.854 0.750 0.420
0.472 0.250 0.883
0.528 0.750 0.117
```

---

Ordering by calculated energy gives the sequence <two>, <one>, with the first entry being the most stable.

---

<one>
VASP calculation (GGA-PBE) on Pm2Cu2Ag after structural relaxation.

The density is 7.89 Mg/m³. The calculation puts the spin magnetization at 0.000 μB/cell. As for the symmetry: P4/mbm.

Structure (POSCAR):
```
Pm2Cu2Ag
1.0
7.583 0.000 0.000
0.000 7.583 0.000
0.000 0.000 3.841
Pm Cu Ag
4 4 2
direct
0.178 0.322 0.000
0.322 0.822 0.000
0.678 0.178 0.000
0.822 0.678 0.000
0.118 0.618 0.500
0.382 0.118 0.500
0.618 0.882 0.500
0.882 0.382 0.500
0.000 0.000 0.500
0.500 0.500 0.500
```

---

<two>
VASP calculation (GGA-PBE) on Pm2Cu2Ag after structural relaxation.

The density is 7.89 Mg/m³. The calculation puts the spin magnetization at 0.000 μB/cell. As for the symmetry: Cmmm.

Structure (POSCAR):
```
Pm2Cu2Ag
1.0
4.072 0.000 0.000
0.000 14.349 0.000
0.000 0.000 3.782
Pm Cu Ag
4 4 2
direct
0.000 0.127 0.000
0.000 0.873 0.000
0.500 0.373 0.000
0.500 0.627 0.000
0.000 0.299 0.500
0.000 0.701 0.500
0.500 0.201 0.500
0.500 0.799 0.500
0.000 0.500 0.500
0.500 0.000 0.500
```

---

Ordering by calculated energy gives the sequence <two>, <one>, with the first entry being the most stable.

---

<one>
VASP calculation (GGA-PBE) on PmPrCuAg after structural relaxation.

The density is 7.58 Mg/m³. The calculation puts the spin magnetization at 0.001 μB/cell. As for the symmetry: F-43m.

Structure (POSCAR):
```
PmPrCuAg
1.0
7.372 0.000 0.000
0.000 7.372 0.000
0.000 0.000 7.372
Pm Pr Cu Ag
4 4 4 4
direct
0.000 0.000 0.000
0.000 0.500 0.500
0.500 0.000 0.500
0.500 0.500 0.000
0.000 0.000 0.500
0.000 0.500 0.000
0.500 0.000 0.000
0.500 0.500 0.500
0.250 0.250 0.750
0.250 0.750 0.250
0.750 0.250 0.250
0.750 0.750 0.750
0.250 0.250 0.250
0.250 0.750 0.750
0.750 0.250 0.750
0.750 0.750 0.250
```

---

<two>
VASP calculation (GGA-PBE) on PmPrCuAg after structural relaxation.

The density is 7.64 Mg/m³. The calculation puts the spin magnetization at 0.000 μB/cell. As for the symmetry: P4mm.

Structure (POSCAR):
```
PmPrCuAg
1.0
3.668 0.000 0.000
0.000 3.668 0.000
0.000 0.000 7.388
Pm Pr Cu Ag
1 1 1 1
direct
0.000 0.000 0.000
0.000 0.000 0.528
0.500 0.500 0.774
0.500 0.500 0.255
```

---

Ordering by calculated energy gives the sequence <two>, <one>, with the first entry being the most stable.

---

<one>
VASP calculation (GGA-PBE) on TbPmCuAg after structural relaxation.

The density is 8.31 Mg/m³. The calculation puts the spin magnetization at 0.000 μB/cell. As for the symmetry: F-43m.

Structure (POSCAR):
```
TbPmCuAg
1.0
7.243 0.000 0.000
0.000 7.243 0.000
0.000 0.000 7.243
Tb Pm Cu Ag
4 4 4 4
direct
0.000 0.000 0.000
0.000 0.500 0.500
0.500 0.000 0.500
0.500 0.500 0.000
0.000 0.000 0.500
0.000 0.500 0.000
0.500 0.000 0.000
0.500 0.500 0.500
0.250 0.250 0.250
0.250 0.750 0.750
0.750 0.250 0.750
0.750 0.750 0.250
0.250 0.250 0.750
0.250 0.750 0.250
0.750 0.250 0.250
0.750 0.750 0.750
```

---

<two>
VASP calculation (GGA-PBE) on TbPmCuAg after structural relaxation.

The density is 8.39 Mg/m³. The calculation puts the spin magnetization at 0.000 μB/cell. As for the symmetry: P4mm.

Structure (POSCAR):
```
TbPmCuAg
1.0
3.594 0.000 0.000
0.000 3.594 0.000
0.000 0.000 7.281
Tb Pm Cu Ag
1 1 1 1
direct
0.000 0.000 0.000
0.000 0.000 0.527
0.500 0.500 0.776
0.500 0.500 0.251
```

---

Ordering by calculated energy gives the sequence <two>, <one>, with the first entry being the most stable.

---

<one>
VASP calculation (GGA-PBE) on PrCuAg after structural relaxation.

The density is 7.08 Mg/m³. The calculation puts the spin magnetization at 0.000 μB/cell. As for the symmetry: F-43m.

Structure (POSCAR):
```
PrCuAg
1.0
6.643 0.000 0.000
0.000 6.643 0.000
0.000 0.000 6.643
Pr Cu Ag
4 4 4
direct
0.000 0.000 0.000
0.000 0.500 0.500
0.500 0.000 0.500
0.500 0.500 0.000
0.250 0.250 0.250
0.250 0.750 0.750
0.750 0.250 0.750
0.750 0.750 0.250
0.000 0.000 0.500
0.000 0.500 0.000
0.500 0.000 0.000
0.500 0.500 0.500
```

---

<two>
VASP calculation (GGA-PBE) on PrCuAg after structural relaxation.

The density is 7.66 Mg/m³. The calculation puts the spin magnetization at 0.000 μB/cell. As for the symmetry: P-6m2.

Structure (POSCAR):
```
PrCuAg
1.0
4.577 0.000 0.000
-2.289 3.964 0.000
0.000 0.000 3.730
Pr Cu Ag
1 1 1
direct
0.000 0.000 0.000
0.333 0.667 0.500
0.667 0.333 0.500
```

---

Ordering by calculated energy gives the sequence <two>, <one>, with the first entry being the most stable.

---

<one>
VASP calculation (GGA-PBE) on PrCuAg after structural relaxation.

The density is 7.67 Mg/m³. The calculation puts the spin magnetization at 0.000 μB/cell. As for the symmetry: P6/mmm.

Structure (POSCAR):
```
PrCuAg
1.0
4.619 0.000 0.000
-2.310 4.000 0.000
0.000 0.000 7.322
Pr Cu Ag
2 2 2
direct
0.000 0.000 0.232
0.000 0.000 0.768
0.333 0.667 0.000
0.667 0.333 0.000
0.333 0.667 0.500
0.667 0.333 0.500
```

---

<two>
VASP calculation (GGA-PBE) on PrCuAg after structural relaxation.

The density is 7.41 Mg/m³. The calculation puts the spin magnetization at 0.000 μB/cell. As for the symmetry: C2/m.

Structure (POSCAR):
```
PrCuAg
1.0
4.621 0.000 0.000
0.000 14.299 0.000
-1.512 0.000 4.237
Pr Cu Ag
4 4 4
direct
0.000 0.135 0.000
0.000 0.865 0.000
0.500 0.365 0.000
0.500 0.635 0.000
0.000 0.278 0.500
0.000 0.722 0.500
0.500 0.222 0.500
0.500 0.778 0.500
0.180 0.500 0.323
0.320 0.000 0.677
0.680 0.000 0.323
0.820 0.500 0.677
```

---

<three>
VASP calculation (GGA-PBE) on PrCuAg after structural relaxation.

The density is 7.89 Mg/m³. The calculation puts the spin magnetization at 0.000 μB/cell. As for the symmetry: C2/m.

Structure (POSCAR):
```
PrCuAg
1.0
10.325 0.000 0.000
0.000 4.225 0.000
-4.259 0.000 6.027
Pr Cu Ag
4 4 4
direct
0.057 0.000 0.301
0.443 0.500 0.699
0.557 0.500 0.301
0.943 0.000 0.699
0.140 0.500 0.671
0.360 0.000 0.329
0.640 0.000 0.671
0.860 0.500 0.329
0.179 0.500 0.089
0.321 0.000 0.911
0.679 0.000 0.089
0.821 0.500 0.911
```

---

<four>
VASP calculation (GGA-PBE) on PrCuAg after structural relaxation.

The density is 7.94 Mg/m³. The calculation puts the spin magnetization at 0.000 μB/cell. As for the symmetry: I4mm.

Structure (POSCAR):
```
PrCuAg
1.0
3.642 0.000 0.000
0.000 3.642 0.000
0.000 0.000 9.853
Pr Cu Ag
2 2 2
direct
0.000 0.000 0.000
0.500 0.500 0.500
0.000 0.000 0.679
0.500 0.500 0.179
0.000 0.000 0.307
0.500 0.500 0.807
```

---

Ordering by calculated energy gives the sequence <three>, <one>, <four>, <two>, with the first entry being the most stable.